#P
This record from Alexandria via LeMat-Bulk describes crystalline Ag2IrCl2 at its relaxed geometry. The functional is PBE-GGA.

Properties
The density of states at the Fermi level comes out at 0.814 states/eV/atom. As for the volume: 104.3 Å³/cell. For the spin magnetization, the calculation gives 1.04 μB per formula unit.

Lattice parameters (Å, degrees): 3.557 3.557 8.619 78.09 78.09 90.00
Site moments in Bohr magnetons follow the coordinates.
Fractional coordinates of all 5 atoms:
Ir  0.000  0.000  0.000  0.97
Cl  0.250  0.750  0.500  -0.01
Cl  0.750  0.250  0.500  -0.01
Ag  0.584  0.584  0.833  0.06
Ag  0.416  0.416  0.167  0.06

---

#Q
This record from Alexandria via LeMat-Bulk describes crystalline Ag2IrCl2 at its relaxed geometry. The functional is PBE-GGA.

Properties
The density of states at the Fermi level comes out at 0.934 states/eV/atom. As for the volume: 194.4 Å³/cell. For the spin magnetization, the calculation gives 1.62 μB per formula unit.

Lattice parameters (Å, degrees): 7.889 7.889 3.123 90.00 90.00 90.00
Site moments in Bohr magnetons follow the coordinates.
Fractional coordinates of all 10 atoms:
Ag  0.653  0.153  0.000  0.01
Ag  0.847  0.653  0.000  0.01
Ag  0.153  0.347  0.000  0.01
Ag  0.347  0.847  0.000  0.01
Ir  0.500  0.500  0.000  1.46
Ir  0.000  0.000  0.000  1.46
Cl  0.650  0.850  0.500  0.03
Cl  0.850  0.350  0.500  0.04
Cl  0.350  0.150  0.500  0.03
Cl  0.150  0.650  0.500  0.04

---

Looking at the structures above, #Q is most stable, and the difference to the next one is 0.156 eV/atom.